1.
Here is an optimized crystal structure of PmGd2As from Alexandria via LeMat-Bulk. Energies are from PBE-GGA.

Output
offset from the most stable computed form: 0.000 eV per atom
E_tot: -9.999 eV/atom
energy of formation from the pure elements: -0.608 eV per atom

Cell lengths 3.8844, 3.8844, 28.8711 Å; angles 90.00, 90.00, 120.00 degrees
Closest atoms and distances in Å follow each position.
Space group R-3m (No. 166, hexagonal axes)
Inequivalent atoms, fractional coordinates:
Pm 0.0000 0.0000 0.0000  6 Gd 3.78, 6 Pm 3.88
Gd 0.0000 0.0000 0.2281  3 As 2.86
As 0.0000 0.0000 0.5000  6 Gd 2.86

***

2.
Here is an optimized crystal structure of PmGd2As from Alexandria via LeMat-Bulk. Energies are from PBE-GGA.

Output
offset from the most stable computed form: 0.029 eV per atom
E_tot: -9.970 eV/atom
energy of formation from the pure elements: -0.579 eV per atom

Cell lengths 3.7575, 3.7575, 7.9786 Å; angles 90.00, 90.00, 90.00 degrees
Closest atoms and distances in Å follow each position.
Space group P4/mmm (No. 123)
Inequivalent atoms, fractional coordinates:
Pm 0.0000 0.0000 0.0000  8 Gd 3.59, 4 Pm 3.76, 2 As 3.99
Gd 0.5000 0.5000 0.3035  4 As 3.09, 1 Gd 3.14
As 0.0000 0.0000 0.5000  8 Gd 3.09

***

3.
Here is an optimized crystal structure of Pm2GdAs from Alexandria via LeMat-Bulk. Energies are from PBE-GGA.

Output
offset from the most stable computed form: 0.000 eV per atom
E_tot: -7.655 eV/atom
energy of formation from the pure elements: -0.597 eV per atom

Cell lengths 3.9878, 3.9878, 28.4786 Å; angles 90.00, 90.00, 120.00 degrees
Closest atoms and distances in Å follow each position.
Space group R-3m (No. 166, hexagonal axes)
Inequivalent atoms, fractional coordinates:
Pm 0.0000 0.0000 0.2287  3 As 2.90
Gd 0.0000 0.0000 0.0000  6 Pm 3.77, 6 Gd 3.99
As 0.0000 0.0000 0.5000  6 Pm 2.90

***

Number 1: theoretical density 7.1 g cm⁻³. Number 2: theoretical density 7.9 g cm⁻³. Number 3: theoretical density 6.6 g cm⁻³.